Density functional theory data (PBE) for a geometry-optimized ErTe2As structure.

abc: 4.0344 4.0344 28.0657
angles: 90.00 90.00 120.00
Space group R-3m (No. 166, hexagonal axes)
Symmetry-distinct sites (fractional):
Er: 0.0000 0.0000 0.0000 (multiplicity 3)
Te: 0.0000 0.0000 0.1064 (multiplicity 6)
As: 0.0000 0.0000 0.5000 (multiplicity 3)

Results
- magnetic moment (Bohr magnetons per cell) = 0.000
- ΔE_f (raw) (eV per atom) = -0.033
- D(E_F) (states/eV/cell) = 3.6